1.
This record from the Alexandria database describes a PBEsol-optimized structure of Rb3TaS. The functional is SCAN.

Geometry as CIF:
```
data_Rb3TaS
_chemical_formula_sum 'Rb3 Ta1 S1'
_cell_length_a 6.262
_cell_length_b 6.262
_cell_length_c 6.262
_cell_angle_alpha 90.00
_cell_angle_beta 90.00
_cell_angle_gamma 90.00
_space_group_name_H-M_alt 'P m -3 m'
_space_group_IT_number 221
_space_group_name_Hall '-P 4 2 3'
loop_
_atom_site_label
_atom_site_type_symbol
_atom_site_fract_x
_atom_site_fract_y
_atom_site_fract_z
Rb1 Rb 0.000 0.000 0.500
Ta1 Ta 0.500 0.500 0.500
S1 S 0.000 0.000 0.000
```



2.
This record from the Alexandria database describes a PBEsol-optimized structure of RbYTaS2. The functional is SCAN.

Geometry as CIF:
```
data_RbYTaS2
_chemical_formula_sum 'Rb1 Y1 Ta1 S2'
_cell_length_a 5.260
_cell_length_b 5.260
_cell_length_c 5.679
_cell_angle_alpha 90.00
_cell_angle_beta 90.00
_cell_angle_gamma 90.00
_space_group_name_H-M_alt 'P 4/m m m'
_space_group_IT_number 123
_space_group_name_Hall '-P 4 2'
loop_
_atom_site_label
_atom_site_type_symbol
_atom_site_fract_x
_atom_site_fract_y
_atom_site_fract_z
Rb1 Rb 0.000 0.000 0.000
Y1 Y 0.500 0.500 0.500
Ta1 Ta 0.500 0.500 0.000
S1 S 0.000 0.500 0.500
```



3.
This record from the Alexandria database describes a PBEsol-optimized structure of RbTbS2. The functional is SCAN.

Geometry as CIF:
```
data_RbTbS2
_chemical_formula_sum 'Rb3 Tb3 S6'
_cell_length_a 4.0311
_cell_length_b 4.0311
_cell_length_c 22.7032
_cell_angle_alpha 90.00
_cell_angle_beta 90.00
_cell_angle_gamma 120.00
_space_group_name_H-M_alt 'R -3 m'
_space_group_IT_number 166
_space_group_name_Hall '-R 3 2"'
loop_
_atom_site_label
_atom_site_type_symbol
_atom_site_fract_x
_atom_site_fract_y
_atom_site_fract_z
Rb1 Rb 0.0000 0.0000 0.0000
Tb1 Tb 0.0000 0.0000 0.5000
S1 S 0.0000 0.0000 0.2314
```



4.
This record from the Alexandria database describes a PBEsol-optimized structure of RbTe2S2. The functional is SCAN.

Geometry as CIF:
```
data_RbTe2S2
_chemical_formula_sum 'Rb2 Te4 S4'
_cell_length_a 8.846
_cell_length_b 8.846
_cell_length_c 4.210
_cell_angle_alpha 90.00
_cell_angle_beta 90.00
_cell_angle_gamma 90.00
_space_group_name_H-M_alt 'P 4/m b m'
_space_group_IT_number 127
_space_group_name_Hall '-P 4 2ab'
loop_
_atom_site_label
_atom_site_type_symbol
_atom_site_fract_x
_atom_site_fract_y
_atom_site_fract_z
Rb1 Rb 0.000 0.000 0.000
Te1 Te 0.211 0.289 0.500
S1 S 0.181 0.681 0.000
```

Output
Distance to the lowest polymorph of the same formula (eV/atom): 0.0178



5.
This record from the Alexandria database describes a PBEsol-optimized structure of RbTe2S2. The functional is SCAN.

Geometry as CIF:
```
data_RbTe2S2
_chemical_formula_sum 'Rb2 Te4 S4'
_cell_length_a 5.375
_cell_length_b 5.375
_cell_length_c 11.599
_cell_angle_alpha 90.00
_cell_angle_beta 90.00
_cell_angle_gamma 90.00
_space_group_name_H-M_alt 'I 4/m m m'
_space_group_IT_number 139
_space_group_name_Hall '-I 4 2'
loop_
_atom_site_label
_atom_site_type_symbol
_atom_site_fract_x
_atom_site_fract_y
_atom_site_fract_z
Rb1 Rb 0.000 0.000 0.000
Te1 Te 0.000 0.000 0.299
S1 S 0.000 0.500 0.250
```

Output
Distance to the lowest polymorph of the same formula (eV/atom): 0.0000



6.
This record from the Alexandria database describes a PBEsol-optimized structure of Rb2TeS2. The functional is SCAN.

Geometry as CIF:
```
data_Rb2TeS2
_chemical_formula_sum 'Rb4 Te2 S4'
_cell_length_a 7.475
_cell_length_b 7.475
_cell_length_c 5.014
_cell_angle_alpha 90.00
_cell_angle_beta 90.00
_cell_angle_gamma 90.00
_space_group_name_H-M_alt 'P 4/m b m'
_space_group_IT_number 127
_space_group_name_Hall '-P 4 2ab'
loop_
_atom_site_label
_atom_site_type_symbol
_atom_site_fract_x
_atom_site_fract_y
_atom_site_fract_z
Rb1 Rb 0.152 0.348 0.000
Te1 Te 0.000 0.000 0.500
S1 S 0.169 0.669 0.500
```



| no. | uncorrected energy (eV per atom) | formation energy (no corrections) (meV/atom) |
| --- | --- | --- |
| 1 | -26.9931 | 692.7 |
| 2 | -26.6524 | 231.9 |
| 3 | -23.8158 | -2126.3 |
| 4 | -23.1919 | -292.4 |
| 5 | -23.2097 | -310.1 |
| 6 | -20.3939 | -796.7 |